# LiU2O6, optimized geometry, DFT GGA-PBE
data_LiU2O6
_chemical_formula_sum 'Li2 U4 O12'
_space_group_name_H-M_alt 'P n n m'
_space_group_IT_number 58
_cell_length_a 5.148
_cell_length_b 5.443
_cell_length_c 9.377
_cell_angle_alpha 90.00
_cell_angle_beta 90.00
_cell_angle_gamma 90.00
loop_
_space_group_symop_operation_xyz
'x,y,z'
'-x,-y,-z'
'-x,-y,z'
'x,y,-z'
'x+1/2,-y+1/2,-z+1/2'
'-x+1/2,y+1/2,z+1/2'
'-x+1/2,y+1/2,-z+1/2'
'x+1/2,-y+1/2,z+1/2'
loop_
_atom_site_label
_atom_site_type_symbol
_atom_site_fract_x
_atom_site_fract_y
_atom_site_fract_z
Li1 Li 0.000 0.000 0.000
U1 U 0.000 0.500 0.183
O1 O 0.179 0.340 0.000
O2 O 0.234 0.817 0.176
# energy relative to the elements, uncorrected	-2.969	eV per atom
# calculated density	7.32	g cm⁻³
# VASP energy	-8.996	eV per atom
# V	262.75	Å³ per cell